Record 1
Si2IrCl at its PBEsol-relaxed geometry, computed with meta-GGA SCAN.

```
Si2IrCl
1.0
3.5662 0.0000 0.0000
0.0000 3.5662 0.0000
0.0000 0.0000 4.7217
Si Ir Cl
2 1 1
Cartesian
0.0000 1.7831 0.0000
1.7831 0.0000 0.0000
0.0000 0.0000 2.3608
1.7831 1.7831 2.3608
```

Its mass density is 7.85 g/cm3. The size of the total moment comes out at 0.0 Bohr magnetons per cell. The value obtained for the formation energy without anion corrections is 0.920 eV/atom.

Record 2
Si2IrCl at its PBEsol-relaxed geometry, computed with meta-GGA SCAN.

```
Si2IrCl
1.0
0.0000 3.1023 3.1023
3.1023 0.0000 3.1023
3.1023 3.1023 0.0000
Si Ir Cl
2 1 1
Cartesian
1.5512 1.5512 1.5512
4.6535 4.6535 4.6535
0.0000 0.0000 0.0000
3.1023 3.1023 3.1023
```

Its mass density is 7.89 g/cm3. The size of the total moment comes out at 0.0 Bohr magnetons per cell. The value obtained for the formation energy without anion corrections is 0.647 eV/atom.

Record 3
SiIrCl2 at its PBEsol-relaxed geometry, computed with meta-GGA SCAN.

```
SiIrCl2
1.0
2.9732 0.0000 0.0000
0.0000 2.9732 0.0000
0.0000 0.0000 8.6722
Si Ir Cl
1 1 2
Cartesian
0.0000 0.0000 0.0000
1.4866 1.4866 1.2048
0.0000 0.0000 6.6534
1.4866 1.4866 3.5467
```

Its mass density is 6.31 g/cm3. The size of the total moment comes out at 0.0 Bohr magnetons per cell. The value obtained for the formation energy without anion corrections is -0.482 eV/atom.

Record 4
Si2IrCl at its PBEsol-relaxed geometry, computed with meta-GGA SCAN.

```
Si2IrCl
1.0
4.6477 0.0000 0.0000
0.0000 4.6477 0.0000
0.0000 0.0000 2.7534
Si Ir Cl
2 1 1
Cartesian
0.0000 2.3239 0.0000
2.3239 0.0000 0.0000
0.0000 0.0000 1.3767
2.3239 2.3239 1.3767
```

Its mass density is 7.92 g/cm3. The size of the total moment comes out at 0.0 Bohr magnetons per cell. The value obtained for the formation energy without anion corrections is 0.417 eV/atom.

Record 5
Si2IrCl at its PBEsol-relaxed geometry, computed with meta-GGA SCAN.

```
Si2IrCl
1.0
1.8263 1.0544 6.8280
-1.8263 1.0544 6.8280
0.0000 -2.1089 6.8280
Si Ir Cl
2 1 1
Cartesian
0.0000 0.0000 2.2953
0.0000 0.0000 18.1888
0.0000 0.0000 10.2420
0.0000 0.0000 0.0000
```

Its mass density is 5.97 g/cm3. The size of the total moment comes out at 0.0 Bohr magnetons per cell. The value obtained for the formation energy without anion corrections is -0.438 eV/atom.

Record 6
SiIr4Cl at its PBEsol-relaxed geometry, computed with meta-GGA SCAN.

```
SiIr4Cl
1.0
0.0000 3.6625 3.6625
3.6625 0.0000 3.6625
3.6625 3.6625 0.0000
Si Ir Cl
1 4 1
Cartesian
0.0000 0.0000 0.0000
2.7440 2.7440 2.7440
4.5810 4.5810 2.7440
4.5810 2.7440 4.5810
2.7440 4.5810 4.5810
5.4938 5.4938 5.4938
```

Its mass density is 14.07 g/cm3. The size of the total moment comes out at 4.1 Bohr magnetons per cell. The value obtained for the formation energy without anion corrections is 1.116 eV/atom.

Record 7
Si2IrCl at its PBEsol-relaxed geometry, computed with meta-GGA SCAN.

```
Si2IrCl
1.0
3.5081 -3.3666 0.0000
3.5081 3.3666 0.0000
-1.0715 0.0000 2.6696
Si Ir Cl
2 1 1
Cartesian
1.7541 1.6833 0.0000
1.7541 -1.6833 0.0000
0.0000 0.0000 0.0000
3.5081 0.0000 0.0000
```

Its mass density is 7.47 g/cm3. The size of the total moment comes out at 0.0 Bohr magnetons per cell. The value obtained for the formation energy without anion corrections is 0.055 eV/atom.

Record 8
SnIr3Cl at its PBEsol-relaxed geometry, computed with meta-GGA SCAN.

```
SnIr3Cl
1.0
4.4561 0.0000 0.0000
0.0000 4.4561 0.0000
0.0000 0.0000 4.4561
Sn Ir Cl
1 3 1
Cartesian
0.0000 0.0000 0.0000
0.0000 2.2280 2.2280
2.2280 0.0000 2.2280
2.2280 2.2280 0.0000
2.2280 2.2280 2.2280
```

Its mass density is 13.72 g/cm3. The size of the total moment comes out at 0.0 Bohr magnetons per cell. The value obtained for the formation energy without anion corrections is 1.666 eV/atom.

Record 9
SrIr2Cl at its PBEsol-relaxed geometry, computed with meta-GGA SCAN.

```
SrIr2Cl
1.0
2.5101 -5.5441 0.0000
2.5101 5.5441 0.0000
0.0000 0.0000 2.8985
Sr Ir Cl
1 2 1
Cartesian
0.0000 0.0000 0.0000
1.2550 2.7721 1.4492
1.2550 -2.7721 1.4492
2.5101 0.0000 0.0000
```

Its mass density is 10.45 g/cm3. The size of the total moment comes out at 0.0 Bohr magnetons per cell. The value obtained for the formation energy without anion corrections is 0.430 eV/atom.

Record 10
SrIr2Cl at its PBEsol-relaxed geometry, computed with meta-GGA SCAN.

```
SrIr2Cl
1.0
3.6979 0.0000 0.0000
0.0000 3.6979 0.0000
0.0000 0.0000 6.0061
Sr Ir Cl
1 2 1
Cartesian
0.0000 0.0000 0.0000
0.0000 1.8489 3.0031
1.8489 0.0000 3.0031
1.8489 1.8489 0.0000
```

Its mass density is 10.26 g/cm3. The size of the total moment comes out at 0.0 Bohr magnetons per cell. The value obtained for the formation energy without anion corrections is -0.146 eV/atom.

Record 11
SrIrCl2 at its PBEsol-relaxed geometry, computed with meta-GGA SCAN.

```
SrIrCl2
1.0
3.3021 0.0000 0.0000
0.0000 4.2954 0.0000
0.0000 0.0000 5.7578
Sr Ir Cl
1 1 2
Cartesian
0.0000 0.0000 0.0000
1.6510 0.0000 2.8789
0.0000 2.1477 2.8789
1.6510 2.1477 0.0000
```

Its mass density is 7.13 g/cm3. The size of the total moment comes out at 0.0 Bohr magnetons per cell. The value obtained for the formation energy without anion corrections is -0.503 eV/atom.

Record 12
SrIr2Cl at its PBEsol-relaxed geometry, computed with meta-GGA SCAN.

```
SrIr2Cl
1.0
4.1418 0.0000 0.0000
0.0000 4.1418 0.0000
0.0000 0.0000 5.0754
Sr Ir Cl
1 2 1
Cartesian
0.0000 0.0000 0.0000
2.0709 2.0709 1.2245
2.0709 2.0709 3.8509
0.0000 0.0000 2.5377
```

Its mass density is 9.68 g/cm3. The size of the total moment comes out at 0.0 Bohr magnetons per cell. The value obtained for the formation energy without anion corrections is 0.578 eV/atom.

What did the ninth record say?
SrIr2Cl at its PBEsol-relaxed geometry, computed with meta-GGA SCAN.

```
SrIr2Cl
1.0
2.5101 -5.5441 0.0000
2.5101 5.5441 0.0000
0.0000 0.0000 2.8985
Sr Ir Cl
1 2 1
Cartesian
0.0000 0.0000 0.0000
1.2550 2.7721 1.4492
1.2550 -2.7721 1.4492
2.5101 0.0000 0.0000
```

Its mass density is 10.45 g/cm3. The size of the total moment comes out at 0.0 Bohr magnetons per cell. The value obtained for the formation energy without anion corrections is 0.430 eV/atom.

Question: Which formula does entry 8 have?
Answer: SnIr3Cl